This record from Alexandria describes a relaxed CsRbMo3P3O17 crystal. The functional is PBE with a Hubbard U.

a = 9.7293 Å, b = 11.0674 Å, c = 15.7746 Å
α = 70.60°, β = 90.00°, γ = 90.00°
Each line ends with the local moment (μB).
Sites, in units of the cell vectors:
Cs: 0.6040 0.3178 0.4853  0.00
Cs: 0.3960 0.6822 0.5147  0.00
Cs: 0.1040 0.1822 0.0147  0.00
Cs: 0.8960 0.8178 0.9853  0.00
Rb: 0.1294 0.5967 0.7878  0.00
Rb: 0.8706 0.4033 0.2122  0.00
Rb: 0.6294 0.9033 0.7122  0.00
Rb: 0.3706 0.0967 0.2878  0.00
Mo: 0.8818 0.1977 0.7560  1.02
Mo: 0.1182 0.8023 0.2440  1.02
Mo: 0.3818 0.3023 0.7440  1.02
Mo: 0.6182 0.6977 0.2560  1.02
Mo: 0.3803 0.8153 0.9370  0.01
Mo: 0.6197 0.1847 0.0630  0.01
Mo: 0.8803 0.6847 0.5630  0.01
Mo: 0.1197 0.3153 0.4370  0.01
Mo: 0.2405 0.9788 0.5982  0.00
Mo: 0.7595 0.0212 0.4018  0.00
Mo: 0.7405 0.5212 0.9018  0.00
Mo: 0.2595 0.4788 0.0982  0.00
P: 0.6000 0.0795 0.8785  0.01
P: 0.4000 0.9205 0.1215  0.01
P: 0.1000 0.4205 0.6215  0.01
P: 0.9000 0.5795 0.3785  0.01
P: 0.1766 0.0408 0.7978  0.00
P: 0.8234 0.9592 0.2022  0.00
P: 0.6766 0.4592 0.7022  0.00
P: 0.3234 0.5408 0.2978  0.00
P: 0.4039 0.3993 0.9311  0.00
P: 0.5961 0.6007 0.0689  0.00
P: 0.9039 0.1007 0.5689  0.00
P: 0.0961 0.8993 0.4311  0.00
O: 0.5567 0.7340 0.9995  0.00
O: 0.4433 0.2660 0.0005  0.00
O: 0.0567 0.7660 0.5005  0.00
O: 0.9433 0.2340 0.4995  0.00
O: 0.4251 0.2468 0.6581  -0.09
O: 0.5749 0.7532 0.3419  -0.09
O: 0.9251 0.2532 0.8419  -0.09
O: 0.0749 0.7468 0.1581  -0.09
O: 0.0281 0.2907 0.6672  0.02
O: 0.9719 0.7093 0.3328  0.02
O: 0.5281 0.2093 0.8328  0.02
O: 0.4719 0.7907 0.1672  0.02
O: 0.2912 0.4609 0.9752  0.00
O: 0.7088 0.5391 0.0248  0.00
O: 0.7912 0.0391 0.5248  0.00
O: 0.2088 0.9609 0.4752  0.00
O: 0.4145 0.0135 0.5790  0.00
O: 0.5855 0.9865 0.4210  0.00
O: 0.9145 0.4865 0.9210  0.00
O: 0.0855 0.5135 0.0790  0.00
O: 0.7322 0.0706 0.8239  0.01
O: 0.2678 0.9294 0.1761  0.01
O: 0.2322 0.4294 0.6761  0.01
O: 0.7678 0.5706 0.3239  0.01
O: 0.5089 0.9680 0.8716  0.00
O: 0.4911 0.0320 0.1284  0.00
O: 0.0089 0.5320 0.6284  0.00
O: 0.9911 0.4680 0.3716  0.00
O: 0.3933 0.7599 0.8469  0.00
O: 0.6067 0.2401 0.1531  0.00
O: 0.8933 0.7401 0.6531  0.00
O: 0.1067 0.2599 0.3469  0.00
O: 0.0279 0.0108 0.5962  0.00
O: 0.9721 0.9892 0.4038  0.00
O: 0.5279 0.4892 0.9038  0.00
O: 0.4721 0.5108 0.0962  0.00
O: 0.0176 0.0436 0.7985  0.01
O: 0.9824 0.9564 0.2015  0.01
O: 0.5176 0.4564 0.7015  0.01
O: 0.4824 0.5436 0.2985  0.01
O: 0.2381 0.1638 0.8076  0.02
O: 0.7619 0.8362 0.1924  0.02
O: 0.7381 0.3362 0.6924  0.02
O: 0.2619 0.6638 0.3076  0.02
O: 0.2348 0.0213 0.7122  0.00
O: 0.7652 0.9787 0.2878  0.00
O: 0.7348 0.4787 0.7878  0.00
O: 0.2652 0.5213 0.2122  0.00
O: 0.2128 0.9239 0.8820  0.00
O: 0.7872 0.0761 0.1180  0.00
O: 0.7128 0.5761 0.6180  0.00
O: 0.2872 0.4239 0.3820  0.00
O: 0.3310 0.3809 0.8500  0.00
O: 0.6690 0.6191 0.1500  0.00
O: 0.8310 0.1191 0.6500  0.00
O: 0.1690 0.8809 0.3500  0.00
O: 0.1392 0.4325 0.5255  0.00
O: 0.8608 0.5675 0.4745  0.00
O: 0.6392 0.0675 0.9745  0.00
O: 0.3608 0.9325 0.0255  0.00
O: 0.2147 0.1907 0.5154  0.00
O: 0.7853 0.8093 0.4846  0.00
O: 0.7147 0.3093 0.9846  0.00
O: 0.2853 0.6907 0.0154  0.00
O: 0.2399 0.8135 0.6506  0.00
O: 0.7601 0.1865 0.3494  0.00
O: 0.7399 0.6865 0.8494  0.00
O: 0.2601 0.3135 0.1506  0.00

Calculated values
The magnetization comes out at 1.00 μB/f.u. The raw total energy is -6.93 eV/atom. The density of states at the Fermi level comes out at 0.00 states/eV per atom. The crystal system is monoclinic.